Entry 1:
VASP calculation (GGA-PBEsol) on a relaxed structure of Ba2Sb.

abc: 8.280 5.288 11.130
angles: 90.00 90.00 90.00
Space group Pnma (No. 62)
Unique sites:
Ba 0.056 0.250 0.181 [4 per cell]
Ba 0.144 0.250 0.563 [4 per cell]
Sb 0.222 0.250 0.873 [4 per cell]

## Properties
For the total energy, the calculation gives -11.4 eV per formula unit. The theoretical density is 5.40 g/cm³. The value obtained for the formation energy without anion corrections is -847 meV per atom.

***

Entry 2:
VASP calculation (GGA-PBEsol) on a relaxed structure of BaSb.

abc: 12.474 4.803 5.222
angles: 90.00 99.69 90.00
Space group C2/m (No. 12)
Unique sites:
Ba 0.126 0.000 0.235 [4 per cell]
Sb 0.093 0.500 0.702 [4 per cell]

## Properties
For the total energy, the calculation gives -8.6 eV per formula unit. The theoretical density is 5.58 g/cm³. The value obtained for the formation energy without anion corrections is -944 meV per atom.

***

Entry 3:
VASP calculation (GGA-PBEsol) on a relaxed structure of Ba2Sb.

abc: 9.1732 9.1732 5.0558
angles: 90.00 90.00 120.00
Space group P-62m (No. 189)
Unique sites:
Ba 0.0000 0.4127 0.0000 [3 per cell]
Ba 0.0000 0.7359 0.5000 [3 per cell]
Sb 0.0000 0.0000 0.0000 [1 per cell]
Sb 0.3333 0.6667 0.5000 [2 per cell]

## Properties
For the total energy, the calculation gives -11.4 eV per formula unit. The theoretical density is 5.36 g/cm³. The value obtained for the formation energy without anion corrections is -838 meV per atom.

***

Entry 4:
VASP calculation (GGA-PBEsol) on a relaxed structure of Ba2Sb.

abc: 8.149 8.149 8.149
angles: 90.00 90.00 90.00
Space group Fm-3m (No. 225)
Unique sites:
Ba 0.250 0.250 0.250 [8 per cell]
Sb 0.000 0.000 0.000 [4 per cell]

## Properties
For the total energy, the calculation gives -11.4 eV per formula unit. The theoretical density is 4.87 g/cm³. The value obtained for the formation energy without anion corrections is -845 meV per atom.

***

Entry 5:
VASP calculation (GGA-PBEsol) on a relaxed structure of Ba2Sb3.

abc: 6.902 13.425 15.674
angles: 90.00 90.08 90.00
Space group P2_1/c (No. 14)
Unique sites:
Ba 0.023 0.229 0.239 [4 per cell]
Ba 0.245 0.622 0.007 [4 per cell]
Ba 0.253 0.127 0.994 [4 per cell]
Ba 0.474 0.522 0.247 [4 per cell]
Sb 0.001 0.019 0.669 [4 per cell]
Sb 0.098 0.547 0.654 [4 per cell]
Sb 0.248 0.119 0.419 [4 per cell]
Sb 0.254 0.632 0.432 [4 per cell]
Sb 0.411 0.708 0.661 [4 per cell]
Sb 0.496 0.231 0.660 [4 per cell]

## Properties
For the total energy, the calculation gives -22.3 eV per formula unit. The theoretical density is 5.85 g/cm³. The value obtained for the formation energy without anion corrections is -858 meV per atom.

***

Entry 6:
VASP calculation (GGA-PBEsol) on a relaxed structure of Ba5Sb3.

abc: 10.0016 10.0016 7.6662
angles: 90.00 90.00 120.00
Space group P6_3/mcm (No. 193)
Unique sites:
Ba 0.0000 0.2575 0.2500 [6 per cell]
Ba 0.3333 0.6667 0.0000 [4 per cell]
Sb 0.0000 0.3903 0.7500 [6 per cell]

## Properties
For the total energy, the calculation gives -32.4 eV per formula unit. For the energy relative to the lowest polymorph listed for this composition, the calculation gives 0.000 eV/atom. The theoretical density is 5.26 g/cm³. The value obtained for the formation energy without anion corrections is -1003 meV per atom.

***

Entry 7:
VASP calculation (GGA-PBEsol) on a relaxed structure of Ba11Sb10.

abc: 12.640 13.138 19.369
angles: 90.00 90.00 90.00
Space group Immm (No. 71)
Unique sites:
Ba 0.000 0.000 0.150 [4 per cell]
Ba 0.000 0.252 0.314 [8 per cell]
Ba 0.000 0.323 0.110 [8 per cell]
Ba 0.173 0.500 0.401 [8 per cell]
Ba 0.175 0.165 0.500 [8 per cell]
Ba 0.250 0.000 0.305 [8 per cell]
Sb 0.000 0.000 0.387 [4 per cell]
Sb 0.000 0.349 0.500 [4 per cell]
Sb 0.000 0.500 0.256 [4 per cell]
Sb 0.110 0.130 0.000 [8 per cell]
Sb 0.115 0.500 0.000 [4 per cell]
Sb 0.214 0.211 0.184 [16 per cell]

## Properties
For the total energy, the calculation gives -90.6 eV per formula unit. The theoretical density is 5.63 g/cm³. The value obtained for the formation energy without anion corrections is -1020 meV per atom.

***

Entry 8:
VASP calculation (GGA-PBEsol) on a relaxed structure of Ba2Sb.

abc: 5.017 13.621 7.456
angles: 90.00 90.00 90.00
Space group Cmcm (No. 63)
Unique sites:
Ba 0.000 0.000 0.000 [4 per cell]
Ba 0.000 0.298 0.250 [4 per cell]
Sb 0.000 0.379 0.750 [4 per cell]

## Properties
For the total energy, the calculation gives -11.3 eV per formula unit. The theoretical density is 5.17 g/cm³. The value obtained for the formation energy without anion corrections is -831 meV per atom.

***

Entry 9:
VASP calculation (GGA-PBEsol) on a relaxed structure of Ba8Sb.

abc: 13.934 13.934 4.771
angles: 90.00 90.00 90.00
Space group I4/mmm (No. 139)
Unique sites:
Ba 0.000 0.335 0.000 [8 per cell]
Ba 0.140 0.140 0.500 [8 per cell]
Sb 0.000 0.000 0.000 [2 per cell]

## Properties
For the total energy, the calculation gives -23.6 eV per formula unit. The theoretical density is 4.38 g/cm³. The value obtained for the formation energy without anion corrections is -210 meV per atom.

***

Entry 10:
VASP calculation (GGA-PBEsol) on a relaxed structure of Ba2Sb.

abc: 5.3657 5.3657 4.7260
angles: 90.00 90.00 120.00
Space group P-3m1 (No. 164)
Unique sites:
Ba 0.3333 0.6667 0.1975 [2 per cell]
Sb 0.0000 0.0000 0.5000 [1 per cell]

## Properties
For the total energy, the calculation gives -10.9 eV per formula unit. The theoretical density is 5.59 g/cm³. The value obtained for the formation energy without anion corrections is -695 meV per atom.

***

Entry 11:
VASP calculation (GGA-PBEsol) on a relaxed structure of BaSb.

abc: 3.553 13.264 6.153
angles: 90.00 90.00 90.00
Space group Cmcm (No. 63)
Unique sites:
Ba 0.000 0.118 0.250 [4 per cell]
Sb 0.000 0.380 0.250 [4 per cell]

## Properties
For the total energy, the calculation gives -8.4 eV per formula unit. The theoretical density is 5.93 g/cm³. The value obtained for the formation energy without anion corrections is -828 meV per atom.

***

Entry 12:
VASP calculation (GGA-PBEsol) on a relaxed structure of Ba2Sb.

abc: 5.154 5.154 18.799
angles: 90.00 90.00 90.00
Space group I4/mmm (No. 139)
Unique sites:
Ba 0.000 0.000 0.181 [4 per cell]
Ba 0.000 0.500 0.000 [4 per cell]
Sb 0.000 0.000 0.367 [4 per cell]

## Properties
For the total energy, the calculation gives -11.5 eV per formula unit. The theoretical density is 5.27 g/cm³. The value obtained for the formation energy without anion corrections is -871 meV per atom.